# 1
ScUIn | PBE | relaxed

## Properties
As for the symmetry: No. 216. Its excess energy over the best structure of this formula in the dataset is 0.3171 eV/atom. As for the crystal system: cubic. The final energy comes out at -5.81 eV per atom.

abc: 7.119 7.119 7.119
angles: 90.00 90.00 90.00
Fractional coordinates of all 12 atoms:
Sc1 0.000 0.000 0.000
Sc2 0.000 0.500 0.500
Sc3 0.500 0.000 0.500
Sc4 0.500 0.500 0.000
U1 0.250 0.250 0.750
U2 0.250 0.750 0.250
U3 0.750 0.250 0.250
U4 0.750 0.750 0.750
In1 0.000 0.000 0.500
In2 0.000 0.500 0.000
In3 0.500 0.000 0.000
In4 0.500 0.500 0.500

# 2
ScUIn | PBE | relaxed

## Properties
As for the symmetry: No. 216. Its excess energy over the best structure of this formula in the dataset is 0.0000 eV/atom. As for the crystal system: cubic. The final energy comes out at -6.13 eV per atom.

abc: 7.104 7.104 7.104
angles: 90.00 90.00 90.00
Fractional coordinates of all 12 atoms:
Sc1 0.000 0.000 0.000
Sc2 0.000 0.500 0.500
Sc3 0.500 0.000 0.500
Sc4 0.500 0.500 0.000
U1 0.000 0.000 0.500
U2 0.000 0.500 0.000
U3 0.500 0.000 0.000
U4 0.500 0.500 0.500
In1 0.250 0.250 0.250
In2 0.250 0.750 0.750
In3 0.750 0.250 0.750
In4 0.750 0.750 0.250

# 3
ScIn2W | PBE | relaxed

## Properties
As for the symmetry: No. 216. As for the crystal system: cubic. The final energy comes out at -5.70 eV per atom.

abc: 6.859 6.859 6.859
angles: 90.00 90.00 90.00
Fractional coordinates of all 16 atoms:
Sc1 0.000 0.000 0.000
Sc2 0.000 0.500 0.500
Sc3 0.500 0.000 0.500
Sc4 0.500 0.500 0.000
In1 0.000 0.000 0.500
In2 0.000 0.500 0.000
In3 0.250 0.250 0.750
In4 0.250 0.750 0.250
In5 0.500 0.000 0.000
In6 0.500 0.500 0.500
In7 0.750 0.250 0.250
In8 0.750 0.750 0.750
W1 0.250 0.250 0.250
W2 0.250 0.750 0.750
W3 0.750 0.250 0.750
W4 0.750 0.750 0.250

# 4
ScZn4In | PBE | relaxed

## Properties
As for the symmetry: No. 65. As for the crystal system: orthorhombic. The final energy comes out at -1.90 eV per atom.

abc: 7.560 7.953 5.041
angles: 90.00 90.00 90.00
Fractional coordinates of all 12 atoms:
Sc1 0.000 0.000 0.000
Sc2 0.500 0.500 0.000
Zn1 0.000 0.338 0.000
Zn2 0.000 0.662 0.000
Zn3 0.161 0.000 0.500
Zn4 0.339 0.500 0.500
Zn5 0.500 0.162 0.000
Zn6 0.500 0.838 0.000
Zn7 0.661 0.500 0.500
Zn8 0.839 0.000 0.500
In1 0.000 0.500 0.500
In2 0.500 0.000 0.500

# 5
Sc2Zn3In3 | PBE | relaxed

## Properties
As for the symmetry: No. 6. Its excess energy over the best structure of this formula in the dataset is 0.0000 eV/atom. As for the crystal system: monoclinic. The final energy comes out at -3.34 eV per atom.

abc: 6.146 4.782 6.169
angles: 90.00 118.96 90.00
Fractional coordinates of all 8 atoms:
Sc1 0.000 0.000 0.000
Sc2 0.329 0.500 0.662
Zn1 0.328 0.500 0.174
Zn2 0.483 0.000 0.484
Zn3 0.834 0.500 0.155
In1 0.501 0.000 0.010
In2 0.811 0.500 0.655
In3 0.995 0.000 0.486

# 6
ScZnIn2 | PBE | relaxed

## Properties
As for the symmetry: No. 38. As for the crystal system: orthorhombic. The final energy comes out at -3.50 eV per atom.

abc: 5.042 6.199 10.790
angles: 90.00 90.00 90.00
Fractional coordinates of all 16 atoms:
Sc1 0.000 0.000 0.000
Sc2 0.000 0.500 0.500
Sc3 0.500 0.000 0.332
Sc4 0.500 0.500 0.832
Zn1 0.000 0.248 0.252
Zn2 0.000 0.252 0.752
Zn3 0.000 0.748 0.752
Zn4 0.000 0.752 0.252
In1 0.000 0.000 0.500
In2 0.000 0.500 0.000
In3 0.500 0.000 0.830
In4 0.500 0.249 0.089
In5 0.500 0.251 0.589
In6 0.500 0.500 0.330
In7 0.500 0.749 0.589
In8 0.500 0.751 0.089

# 7
ScZn2In | PBE | relaxed

## Properties
As for the symmetry: No. 63. As for the crystal system: orthorhombic. The final energy comes out at -3.18 eV per atom.

abc: 6.100 10.558 4.613
angles: 90.00 90.00 90.00
Fractional coordinates of all 16 atoms:
Sc1 0.000 0.159 0.250
Sc2 0.000 0.841 0.750
Sc3 0.500 0.341 0.750
Sc4 0.500 0.659 0.250
Zn1 0.245 0.080 0.750
Zn2 0.245 0.920 0.250
Zn3 0.255 0.420 0.250
Zn4 0.255 0.580 0.750
Zn5 0.745 0.420 0.250
Zn6 0.745 0.580 0.750
Zn7 0.755 0.080 0.750
Zn8 0.755 0.920 0.250
In1 0.000 0.339 0.750
In2 0.000 0.661 0.250
In3 0.500 0.161 0.250
In4 0.500 0.839 0.750

# 8
Sc2ZnIn5 | PBE | relaxed

## Properties
As for the symmetry: No. 38. As for the crystal system: orthorhombic. The final energy comes out at -3.69 eV per atom.

abc: 5.168 6.340 10.869
angles: 90.00 90.00 90.00
Fractional coordinates of all 16 atoms:
Sc1 0.000 0.000 0.000
Sc2 0.000 0.500 0.500
Sc3 0.500 0.000 0.335
Sc4 0.500 0.500 0.835
Zn1 0.000 0.000 0.499
Zn2 0.000 0.500 0.999
In1 0.000 0.250 0.249
In2 0.000 0.250 0.749
In3 0.000 0.750 0.249
In4 0.000 0.750 0.749
In5 0.500 0.000 0.833
In6 0.500 0.243 0.581
In7 0.500 0.257 0.081
In8 0.500 0.500 0.333
In9 0.500 0.743 0.081
In10 0.500 0.757 0.581